A plane-wave DFT calculation with meta-GGA SCAN was carried out for GeAs2F at its PBEsol-relaxed geometry.

Results
Raw formation energy   -0.03 eV per atom
Calculated volume   21.14 A^3/atom
Crystal system   tetragonal
Symmetry   I-42d (122)

Cell and atoms, written as POSCAR:
```
GeAs2F
1.0
-2.427 5.096 2.133
-2.721 -2.793 -4.957
-0.588 -2.555 5.434
As Ge F
4 2 2
Direct
0.125 0.750 0.609
0.859 0.250 0.875
0.625 0.750 0.141
0.391 0.250 0.375
0.000 0.000 0.000
0.250 0.500 0.750
0.500 0.000 0.500
0.750 0.500 0.250
```



A plane-wave DFT calculation with meta-GGA SCAN was carried out for NiGeAsF2 at its PBEsol-relaxed geometry.

Results
Raw formation energy   -0.60 eV per atom
Calculated volume   14.81 A^3/atom
Crystal system   tetragonal
Symmetry   P4/mmm (123)

Cell and atoms, written as POSCAR:
```
NiGeAsF2
1.0
-0.348 1.093 -3.785
2.494 -2.881 -1.062
-3.650 -2.967 -0.521
As F Ge Ni
1 2 1 1
Direct
0.000 0.000 0.000
0.500 0.000 0.000
0.000 0.500 0.000
0.500 0.500 0.500
0.000 0.000 0.500
```



A plane-wave DFT calculation with meta-GGA SCAN was carried out for AsH2F at its PBEsol-relaxed geometry.

Results
Calculated volume   8.01 A^3/atom
Crystal system   cubic
Energy   -29.02 eV per formula unit
Symmetry   Fm-3m (225)

Cell and atoms, written as POSCAR:
```
AsH2F
1.0
3.565 0.000 0.000
1.783 3.088 0.000
1.783 1.029 2.911
F As H
1 1 2
Direct
0.000 0.000 0.000
0.500 0.500 0.500
0.250 0.250 0.250
0.750 0.750 0.750
```



Question: The highest calculated volume belongs to which entry?
Answer: GeAs2F